{
  "formula": "CoCuF2",
  "functional": "PBE with a Hubbard U",
  "state": "optimized geometry",
  "density_g_cm3": 5.93,
  "final_energy_ev_per_atom": -3.9189,
  "sg": "Fm-3m",
  "dos_ef_per_ev_atom": 0.771,
  "cell": [[0.0000, 2.8216, 2.8216], [2.8216, 0.0000, 2.8216], [2.8216, 2.8216, 0.0000]],
  "species": ["Co", "Cu", "F", "F"],
  "fractional_positions": [[0.0000, 0.0000, 0.0000], [0.5000, 0.5000, 0.5000], [0.2500, 0.2500, 0.2500], [0.7500, 0.7500, 0.7500]]
}